K2AlH | Alexandria via LeMat-Bulk | PBE-GGA | relaxed; density of states at the Fermi level = 1.284 states/eV per atom; ΔE to the lowest computed polymorph = 0.250 eV/atom
1.0
5.018 -1.338 2.497
1.122 1.800 5.358
0.138 -3.786 4.342
H K Al
1 2 1
Direct
0.000 0.000 0.000 H
0.250 0.250 0.250 K
0.750 0.750 0.750 K
0.500 0.500 0.500 Al